# 1
Tb6CeTm12 | GGA-PBE | relaxed

Cell: 8.596 8.596 8.596 Å, 99.16 99.16 99.16°
Last column: magnetic moment on the atom in μB.
Fractional coordinates of all 19 atoms:
1 Tm 0.243 0.500 0.757  -0.04
2 Tm 0.649 0.649 0.921  0.00
3 Tm 0.351 0.079 0.351  0.00
4 Tm 0.079 0.351 0.351  0.00
5 Tm 0.649 0.921 0.649  0.00
6 Tm 0.243 0.757 0.500  -0.04
7 Tm 0.757 0.243 0.500  -0.04
8 Tm 0.500 0.243 0.757  -0.04
9 Tm 0.757 0.500 0.243  -0.04
10 Tm 0.500 0.757 0.243  -0.04
11 Tm 0.351 0.351 0.079  0.00
12 Tm 0.921 0.649 0.649  0.00
13 Tb 0.660 0.103 0.103  0.01
14 Tb 0.103 0.103 0.660  0.01
15 Tb 0.340 0.897 0.897  0.01
16 Tb 0.103 0.660 0.103  0.01
17 Tb 0.897 0.897 0.340  0.01
18 Tb 0.897 0.340 0.897  0.01
19 Ce 0.000 0.000 0.000  0.82

Space group: R-3m
Energy relative to the elements (eV per atom): 0.219

***

# 2
Tb6CeTm12 | GGA-PBE | relaxed

Cell: 8.428 8.428 8.428 Å, 88.46 88.46 88.46°
Last column: magnetic moment on the atom in μB.
Fractional coordinates of all 19 atoms:
1 Tm 0.010 0.212 0.350  0.03
2 Tm 0.227 0.456 0.561  0.00
3 Tm 0.544 0.439 0.773  0.00
4 Tm 0.650 0.990 0.788  0.03
5 Tm 0.212 0.350 0.010  0.03
6 Tm 0.788 0.650 0.990  0.03
7 Tm 0.439 0.773 0.544  0.00
8 Tm 0.990 0.788 0.650  0.03
9 Tm 0.456 0.561 0.227  0.00
10 Tm 0.350 0.010 0.212  0.03
11 Tm 0.561 0.227 0.456  0.00
12 Tm 0.773 0.544 0.439  0.00
13 Tb 0.911 0.313 0.745  0.01
14 Tb 0.313 0.745 0.911  0.01
15 Tb 0.745 0.911 0.313  0.01
16 Tb 0.687 0.255 0.089  0.01
17 Tb 0.089 0.687 0.255  0.01
18 Tb 0.255 0.089 0.687  0.01
19 Ce 0.000 0.000 0.000  0.50

Space group: R-3
Energy relative to the elements (eV per atom): 0.162

***

# 3
Tb6CeTm10 | GGA-PBE | relaxed

Cell: 6.755 9.543 9.543 Å, 120.00 90.00 90.00°
Last column: magnetic moment on the atom in μB.
Fractional coordinates of all 17 atoms:
1 Tb 0.697 0.622 0.000  0.01
2 Tb 0.303 0.000 0.378  0.01
3 Tb 0.303 0.622 0.622  0.01
4 Tb 0.697 0.378 0.378  0.01
5 Tb 0.697 0.000 0.622  0.01
6 Tb 0.303 0.378 0.000  0.01
7 Tm 0.819 0.000 0.274  0.01
8 Tm 0.819 0.274 0.000  0.01
9 Tm 0.819 0.726 0.726  0.01
10 Tm 0.000 0.667 0.333  0.01
11 Tm 0.181 0.274 0.274  0.01
12 Tm 0.000 0.333 0.667  0.01
13 Tm 0.500 0.333 0.667  0.01
14 Tm 0.181 0.000 0.726  0.01
15 Tm 0.500 0.667 0.333  0.01
16 Tm 0.181 0.726 0.000  0.01
17 Ce 0.500 0.000 0.000  0.85

Space group: P-31m
Energy relative to the elements (eV per atom): 0.147

***

# 4
Tb15Ce2Tm2 | GGA-PBE | relaxed

Cell: 8.718 8.718 8.718 Å, 79.12 79.12 79.12°
Last column: magnetic moment on the atom in μB.
Fractional coordinates of all 19 atoms:
1 Tb 0.149 0.631 0.631  0.00
2 Tb 0.303 0.697 0.000  0.01
3 Tb 0.369 0.851 0.369  0.00
4 Tb 0.697 0.000 0.303  0.01
5 Tb 0.000 0.500 0.000  0.01
6 Tb 0.369 0.369 0.851  0.00
7 Tb 0.697 0.303 0.000  0.01
8 Tb 0.851 0.369 0.369  0.00
9 Tb 0.631 0.631 0.149  0.00
10 Tb 0.000 0.303 0.697  0.01
11 Tb 0.303 0.000 0.697  0.01
12 Tb 0.000 0.697 0.303  0.01
13 Tb 0.631 0.149 0.631  0.00
14 Tb 0.500 0.000 0.000  0.01
15 Tb 0.000 0.000 0.500  0.01
16 Ce 0.925 0.925 0.925  0.30
17 Ce 0.075 0.075 0.075  0.30
18 Tm 0.683 0.683 0.683  0.00
19 Tm 0.317 0.317 0.317  0.00

Space group: R-3m
Energy relative to the elements (eV per atom): 0.308

***

# 5
Tb6Ce2YTm3 | GGA-PBE | relaxed

Cell: 6.123 6.123 11.725 Å, 94.99 94.99 120.00°
Last column: magnetic moment on the atom in μB.
Fractional coordinates of all 12 atoms:
1 Tb 0.420 0.084 0.251  0.01
2 Tb 0.749 0.749 0.251  0.01
3 Tb 0.251 0.251 0.749  0.01
4 Tb 0.916 0.580 0.749  0.01
5 Tb 0.084 0.420 0.251  0.01
6 Tb 0.580 0.916 0.749  0.01
7 Ce 0.667 0.333 0.000  0.75
8 Ce 0.333 0.667 0.000  0.75
9 Tm 0.834 0.166 0.500  -0.02
10 Tm 0.500 0.500 0.500  -0.02
11 Tm 0.166 0.834 0.500  -0.02
12 Y 0.000 0.000 0.000  0.04

Space group: C2/m
Energy relative to the elements (eV per atom): 0.052

***

# 6
Tb5CeYTm2 | GGA-PBE | relaxed

Cell: 5.682 11.132 9.532 Å, 90.00 90.00 104.79°
Last column: magnetic moment on the atom in μB.
Fractional coordinates of all 18 atoms:
1 Y 0.403 0.805 0.427  -0.02
2 Y 0.597 0.195 0.927  -0.02
3 Tb 0.267 0.534 0.330  0.02
4 Tb 0.394 0.789 0.044  -0.01
5 Tb 0.013 0.026 0.012  -0.01
6 Tb 0.733 0.466 0.830  0.02
7 Tb 0.987 0.974 0.512  -0.01
8 Tb 0.305 0.611 0.713  0.03
9 Tb 0.695 0.389 0.213  0.03
10 Tb 0.470 0.941 0.748  -0.02
11 Tb 0.530 0.059 0.248  -0.02
12 Tb 0.606 0.211 0.544  -0.01
13 Tm 0.866 0.733 0.207  0.02
14 Tm 0.134 0.267 0.707  0.02
15 Tm 0.886 0.772 0.822  0.01
16 Tm 0.114 0.228 0.322  0.01
17 Ce 0.809 0.617 0.521  0.57
18 Ce 0.191 0.383 0.021  0.57

Space group: Cmc2_1
Energy relative to the elements (eV per atom): 0.176

***

# 7
TbCeY3Tm | GGA-PBE | relaxed

Cell: 5.028 7.939 10.042 Å, 90.00 90.00 108.46°
Last column: magnetic moment on the atom in μB.
Fractional coordinates of all 12 atoms:
1 Tm 0.834 0.668 0.750  0.01
2 Tm 0.166 0.332 0.250  0.01
3 Tb 0.000 0.000 0.000  0.08
4 Tb 0.000 0.000 0.500  0.08
5 Ce 0.499 0.998 0.750  0.77
6 Ce 0.501 0.002 0.250  0.77
7 Y 0.336 0.672 0.500  0.02
8 Y 0.833 0.666 0.250  0.00
9 Y 0.664 0.328 0.000  0.02
10 Y 0.336 0.672 0.000  0.02
11 Y 0.167 0.334 0.750  0.00
12 Y 0.664 0.328 0.500  0.02

Space group: Cmcm
Energy relative to the elements (eV per atom): 0.059

***

# 8
Tb3Ce2YTm6 | GGA-PBE | relaxed

Cell: 6.093 6.093 11.613 Å, 95.01 95.01 119.97°
Last column: magnetic moment on the atom in μB.
Fractional coordinates of all 12 atoms:
1 Tm 0.748 0.748 0.249  0.01
2 Tm 0.581 0.916 0.751  0.01
3 Tm 0.084 0.419 0.249  0.01
4 Tm 0.419 0.084 0.249  0.01
5 Tm 0.252 0.252 0.751  0.01
6 Tm 0.916 0.581 0.751  0.01
7 Tb 0.500 0.500 0.500  -0.03
8 Tb 0.166 0.834 0.500  -0.02
9 Tb 0.834 0.166 0.500  -0.02
10 Y 0.000 0.000 0.000  0.03
11 Ce 0.334 0.666 0.000  0.70
12 Ce 0.666 0.334 0.000  0.70

Space group: C2/m
Energy relative to the elements (eV per atom): 0.047

***

# 9
Tb2CeYTm5 | GGA-PBE | relaxed

Cell: 8.622 8.622 9.738 Å, 116.28 116.28 90.00°
Last column: magnetic moment on the atom in μB.
Fractional coordinates of all 18 atoms:
1 Tm 0.427 0.347 0.274  0.04
2 Tm 0.153 0.073 0.726  0.04
3 Tm 0.653 0.153 0.726  0.04
4 Tm 0.847 0.927 0.274  0.04
5 Tm 0.927 0.427 0.274  0.04
6 Tm 0.347 0.847 0.274  0.04
7 Tm 0.500 0.500 0.000  0.00
8 Tm 0.573 0.653 0.726  0.04
9 Tm 0.073 0.573 0.726  0.04
10 Tm 0.000 0.000 0.000  0.00
11 Ce 0.750 0.750 0.500  0.85
12 Ce 0.250 0.250 0.500  0.85
13 Tb 0.884 0.616 0.000  -0.04
14 Tb 0.384 0.884 0.000  -0.04
15 Tb 0.616 0.116 0.000  -0.04
16 Tb 0.116 0.384 0.000  -0.04
17 Y 0.750 0.250 0.500  0.01
18 Y 0.250 0.750 0.500  0.01

Space group: I4/mcm
Energy relative to the elements (eV per atom): 0.315

***

# 10
Tb6Ce2Y3Tm | GGA-PBE | relaxed

Cell: 6.148 6.148 11.778 Å, 95.00 95.00 120.00°
Last column: magnetic moment on the atom in μB.
Fractional coordinates of all 12 atoms:
1 Ce 0.667 0.333 0.000  0.74
2 Ce 0.333 0.667 0.000  0.74
3 Y 0.500 0.500 0.500  -0.02
4 Y 0.834 0.166 0.500  -0.02
5 Y 0.166 0.834 0.500  -0.02
6 Tb 0.917 0.582 0.752  0.01
7 Tb 0.252 0.252 0.752  0.01
8 Tb 0.418 0.083 0.248  0.01
9 Tb 0.582 0.917 0.752  0.01
10 Tb 0.083 0.418 0.248  0.01
11 Tb 0.748 0.748 0.248  0.01
12 Tm 0.000 0.000 0.000  0.08

Space group: C2/m
Energy relative to the elements (eV per atom): 0.048

***

# 11
Tb6CeY2Tm | GGA-PBE | relaxed

Cell: 8.907 6.767 6.653 Å, 120.57 104.97 90.00°
Last column: magnetic moment on the atom in μB.
Fractional coordinates of all 10 atoms:
1 Tm 0.500 0.000 0.000  -0.02
2 Y 0.824 0.907 0.813  0.05
3 Y 0.176 0.093 0.187  0.05
4 Ce 0.000 0.500 0.000  0.85
5 Tb 0.420 0.631 0.262  0.06
6 Tb 0.580 0.369 0.738  0.06
7 Tb 0.198 0.075 0.668  0.05
8 Tb 0.802 0.407 0.332  0.05
9 Tb 0.198 0.593 0.668  0.05
10 Tb 0.802 0.925 0.332  0.05

Space group: C2/m
Energy relative to the elements (eV per atom): 0.254

***

# 12
TbCeY6Tm2 | GGA-PBE | relaxed

Cell: 9.609 8.705 8.705 Å, 116.13 94.56 94.56°
Last column: magnetic moment on the atom in μB.
Fractional coordinates of all 20 atoms:
1 Y 0.384 0.512 0.301  0.03
2 Y 0.818 0.433 0.984  0.01
3 Y 0.884 0.301 0.512  0.03
4 Y 0.116 0.699 0.488  0.03
5 Y 0.442 0.247 0.885  0.04
6 Y 0.058 0.115 0.753  0.04
7 Y 0.318 0.984 0.433  0.01
8 Y 0.182 0.567 0.016  0.01
9 Y 0.942 0.885 0.247  0.04
10 Y 0.616 0.488 0.699  0.03
11 Y 0.558 0.753 0.115  0.04
12 Y 0.682 0.016 0.567  0.01
13 Tm 0.950 0.711 0.807  0.02
14 Tm 0.550 0.193 0.289  0.02
15 Tm 0.450 0.807 0.711  0.02
16 Tm 0.050 0.289 0.193  0.02
17 Tb 0.250 0.972 0.028  0.00
18 Tb 0.750 0.028 0.972  0.00
19 Ce 0.750 0.592 0.408  0.76
20 Ce 0.250 0.408 0.592  0.76

Space group: C2/c
Energy relative to the elements (eV per atom): 0.155

***

Please write out number 3 again, unchanged.
Tb6CeTm10 | GGA-PBE | relaxed

Cell: 6.755 9.543 9.543 Å, 120.00 90.00 90.00°
Last column: magnetic moment on the atom in μB.
Fractional coordinates of all 17 atoms:
1 Tb 0.697 0.622 0.000  0.01
2 Tb 0.303 0.000 0.378  0.01
3 Tb 0.303 0.622 0.622  0.01
4 Tb 0.697 0.378 0.378  0.01
5 Tb 0.697 0.000 0.622  0.01
6 Tb 0.303 0.378 0.000  0.01
7 Tm 0.819 0.000 0.274  0.01
8 Tm 0.819 0.274 0.000  0.01
9 Tm 0.819 0.726 0.726  0.01
10 Tm 0.000 0.667 0.333  0.01
11 Tm 0.181 0.274 0.274  0.01
12 Tm 0.000 0.333 0.667  0.01
13 Tm 0.500 0.333 0.667  0.01
14 Tm 0.181 0.000 0.726  0.01
15 Tm 0.500 0.667 0.333  0.01
16 Tm 0.181 0.726 0.000  0.01
17 Ce 0.500 0.000 0.000  0.85

Space group: P-31m
Energy relative to the elements (eV per atom): 0.147

***

Q: Among the records above, which one has the highest energy relative to the elements?
A: Tb2CeYTm5

***

Q: Among the records above, which one has the highest energy relative to the elements?
A: Tb2CeYTm5

***

Q: Among the records above, which one has the highest energy relative to the elements?
A: Tb2CeYTm5